(1)
Material: Zr2Fe6Sb
Method: DFT, PBE
State: optimized geometry

a = 7.2895 Å, b = 7.2895 Å, c = 2.9386 Å
α = 90.00°, β = 90.00°, γ = 120.00°
Space group P-62m (No. 189)
Unique sites:
Zr: 0.3333 0.6667 0.0000 x2
Fe: 0.0000 0.3595 0.5000 x3
Fe: 0.0000 0.6990 0.0000 x3
Sb: 0.0000 0.0000 0.5000 x1

For the uncorrected formation energy, the calculation gives 2.98 eV/f.u.

---

(2)
Material: LaCeDy2Bi4
Method: DFT, PBE
State: optimized geometry

a = 7.890 Å, b = 4.575 Å, c = 7.925 Å
α = 90.00°, β = 109.51°, γ = 90.00°
Space group P2/m (No. 10)
Unique sites:
La: 0.000 0.000 0.000 x1
Ce: 0.000 0.500 0.500 x1
Dy: 0.500 0.000 0.500 x1
Dy: 0.500 0.500 0.000 x1
Bi: 0.259 0.000 0.750 x2
Bi: 0.261 0.500 0.257 x2

The calculated formation energy is -20.54 kcal/mol of atoms.

---

(3)
Material: AgSn2Te4
Method: DFT, PBE
State: optimized geometry

a = 4.2783 Å, b = 4.2783 Å, c = 39.9585 Å
α = 90.00°, β = 90.00°, γ = 120.00°
Space group R-3m (No. 166, hexagonal axes)
Unique sites:
Ag: 0.0000 0.0000 0.0000 x3
Sn: 0.0000 0.0000 0.4223 x6
Te: 0.0000 0.0000 0.1313 x6
Te: 0.0000 0.0000 0.2933 x6

For the uncorrected formation energy, the calculation gives -1.08 eV/f.u. For the distance to the lowest polymorph of the same formula, the calculation gives 0.000 eV per atom.

---

(4)
Material: Mg2GeF2
Method: DFT, PBE
State: optimized geometry

a = 3.422 Å, b = 3.422 Å, c = 12.553 Å
α = 90.00°, β = 90.00°, γ = 90.00°
Space group I4/mmm (No. 139)
Unique sites:
Mg: 0.000 0.000 0.154 x4
Ge: 0.000 0.000 0.500 x2
F: 0.000 0.500 0.250 x4

For the uncorrected formation energy, the calculation gives -9.86 eV/f.u. For the distance to the lowest polymorph of the same formula, the calculation gives 0.000 eV per atom.

---

(5)
Material: Zr2InPd6
Method: DFT, PBE
State: optimized geometry

a = 7.566 Å, b = 14.118 Å, c = 3.008 Å
α = 90.00°, β = 90.00°, γ = 90.00°
Space group Cmmm (No. 65)
Unique sites:
Zr: 0.000 0.183 0.000 x4
In: 0.000 0.500 0.500 x2
Pd: 0.182 0.000 0.000 x4
Pd: 0.187 0.338 0.500 x8

The calculated formation energy is -11.31 kcal/mol of atoms.

---

(6)
Material: Na3Y2BiSe6
Method: DFT, PBE
State: optimized geometry

a = 7.248 Å, b = 12.556 Å, c = 7.433 Å
α = 90.00°, β = 108.98°, γ = 90.00°
Space group C2/m (No. 12)
Unique sites:
Na: 0.000 0.000 0.000 x2
Na: 0.000 0.338 0.000 x4
Y: 0.000 0.167 0.500 x4
Bi: 0.000 0.500 0.500 x2
Se: 0.237 0.000 0.731 x4
Se: 0.248 0.330 0.732 x8

For the uncorrected formation energy, the calculation gives -16.67 eV/f.u.

---

(7)
Material: KNa2TcBr8
Method: DFT, PBE
State: optimized geometry

a = 6.191 Å, b = 6.828 Å, c = 9.459 Å
α = 90.00°, β = 89.88°, γ = 86.87°
Space group P-1 (No. 2)
Unique sites:
K: 0.000 0.000 0.000 x1
Na: 0.499 0.500 0.273 x2
Tc: 0.000 0.000 0.500 x1
Br: 0.228 0.679 0.501 x2
Br: 0.232 0.136 0.693 x2
Br: 0.234 0.134 0.307 x2
Br: 0.247 0.515 0.000 x2

For the uncorrected formation energy, the calculation gives -10.96 eV/f.u.

---

(8)
Material: Pr3Al2Pd9Au
Method: DFT, PBE
State: optimized geometry

a = 5.7353 Å, b = 5.7353 Å, c = 11.4650 Å
α = 90.00°, β = 90.00°, γ = 120.00°
Space group P-3m1 (No. 164)
Unique sites:
Pr: 0.0000 0.0000 0.0000 x1
Pr: 0.3333 0.6667 0.5948 x2
Al: 0.3333 0.6667 0.1599 x2
Pd: 0.0000 0.5000 0.0000 x3
Pd: 0.1650 0.3300 0.3125 x6
Au: 0.0000 0.0000 0.5000 x1

The calculated formation energy is -12.91 kcal/mol of atoms.

---

(9)
Material: La4Ge2Pd
Method: DFT, PBE
State: optimized geometry

a = 9.184 Å, b = 9.185 Å, c = 9.548 Å
α = 90.00°, β = 90.00°, γ = 90.00°
Space group I2_12_12_1 (No. 24)
Unique sites:
La: 0.070 0.063 0.063 x8
La: 0.187 0.320 0.687 x8
Ge: 0.117 0.000 0.750 x4
Ge: 0.250 0.367 0.000 x4
Pd: 0.000 0.250 0.375 x4

The calculated formation energy is -17.19 kcal/mol of atoms.

---

(10)
Material: Sr12LiCa7
Method: DFT, PBE
State: optimized geometry

a = 18.1241 Å, b = 18.1241 Å, c = 10.3261 Å
α = 90.00°, β = 90.00°, γ = 120.00°
Space group R-3 (No. 148, hexagonal axes)
Unique sites:
Sr: 0.0325 0.2703 0.3515 x18
Sr: 0.0710 0.5656 0.6627 x18
Li: 0.0000 0.0000 0.5000 x3
Ca: 0.0000 0.0000 0.0000 x3
Ca: 0.0151 0.1407 0.6852 x18

The calculated formation energy is 0.98 kcal/mol of atoms. For the distance to the lowest polymorph of the same formula, the calculation gives 0.000 eV per atom.

---

(11)
Material: LaFe2W
Method: DFT, PBE
State: optimized geometry

a = 3.020 Å, b = 3.023 Å, c = 7.265 Å
α = 90.00°, β = 90.06°, γ = 90.00°
Space group P2/m (No. 10)
Unique sites:
La: 0.000 0.000 0.000 x1
Fe: 0.500 0.500 0.313 x2
W: 0.000 0.000 0.500 x1

The calculated formation energy is 5.90 kcal/mol of atoms. For the distance to the lowest polymorph of the same formula, the calculation gives 0.004 eV per atom.

---

(12)
Material: MnV2Zn
Method: DFT, PBE
State: optimized geometry

a = 6.624 Å, b = 6.624 Å, c = 5.035 Å
α = 90.00°, β = 90.00°, γ = 90.00°
Space group I-42d (No. 122)
Unique sites:
Mn: 0.000 0.000 0.000 x4
V: 0.211 0.250 0.125 x8
Zn: 0.000 0.000 0.500 x4

The calculated formation energy is 9.37 kcal/mol of atoms.